# NaPaTl2 | the Alexandria database | PBE | optimized geometry
# N(E_F) in states/eV per cell: 15.541
# Magnetization in μB/cell: 2.3
# E_tot in eV per atom: -3.6089
# Excess energy over the best structure of this formula in the dataset in eV per formula unit: 0.775
# Calculated formation energy in eV per atom: 0.278
data_NaPaTl2
_space_group_name_H-M_alt 'R -3 m'
_space_group_IT_number 166
_space_group_name_Hall '-R 3 2"'
_cell_length_a 3.2910
_cell_length_b 3.2910
_cell_length_c 36.2810
_cell_angle_alpha 90.00
_cell_angle_beta 90.00
_cell_angle_gamma 120.00
loop_
_atom_site_label
_atom_site_type_symbol
_atom_site_fract_x
_atom_site_fract_y
_atom_site_fract_z
_atom_site_occupancy
Na1 Na 0.0000 0.0000 0.0000 1
Pa1 Pa 0.0000 0.0000 0.5000 1
Tl1 Tl 0.0000 0.0000 0.4105 1